Record 1
NpInI5: optimized geometry, PBE-GGA.

Cell lengths 8.3908, 8.3908, 12.0706 Å; angles 105.61, 105.61, 113.08 degrees
Last column: magnetic moment on the atom in μB.
Positions (direct):
Np 0.0000 0.0000 0.0000  3.44
Np 0.5000 0.5000 0.5000  3.44
In 0.8351 0.6649 0.2500  -0.02
In 0.1649 0.3351 0.7500  -0.02
I 0.6478 0.8055 0.0391  -0.07
I 0.6851 0.3344 0.3673  -0.08
I 0.3055 0.1478 0.5391  -0.07
I 0.1502 0.3498 0.2500  -0.06
I 0.1656 0.8149 0.1327  -0.08
I 0.8344 0.1851 0.8673  -0.08
I 0.8498 0.6502 0.7500  -0.06
I 0.6945 0.8522 0.4609  -0.07
I 0.3149 0.6656 0.6327  -0.08
I 0.3522 0.1945 0.9609  -0.07

Calculated values
size of the total moment	6.0	μB/cell
E	-56.235	eV for the cell shown
crystal system	monoclinic
formation energy (no corrections)	-452	kJ/mol of formula units

---

Record 2
NpInI6: optimized geometry, PBE-GGA.

Cell lengths 7.6142, 7.6153, 8.2019 Å; angles 62.34, 62.33, 60.01 degrees
Last column: magnetic moment on the atom in μB.
Positions (direct):
Np 0.0000 0.0000 0.0000  3.71
In 0.5000 0.5000 0.5000  0.10
I 0.0878 0.4098 0.7501  -0.02
I 0.7524 0.0877 0.7501  -0.02
I 0.5902 0.2476 0.2499  -0.02
I 0.2476 0.9123 0.2499  -0.02
I 0.9122 0.5902 0.2499  -0.02
I 0.4098 0.7524 0.7501  -0.02

Calculated values
size of the total moment	3.8	μB/cell
E	-29.828	eV for the cell shown
crystal system	trigonal
formation energy (no corrections)	-468	kJ/mol of formula units

---

Record 3
NpIn4I7: optimized geometry, PBE-GGA.

Cell lengths 5.9903, 8.4975, 12.2732 Å; angles 115.48, 104.13, 90.00 degrees
Last column: magnetic moment on the atom in μB.
Positions (direct):
Np 0.0000 0.0000 0.0000  4.00
In 0.4202 0.4855 0.8404  0.00
In 0.5798 0.5145 0.1596  0.00
In 0.3111 0.8943 0.6222  0.00
In 0.6889 0.1057 0.3778  0.00
I 0.1184 0.3580 0.2369  -0.02
I 0.8816 0.6420 0.7631  -0.02
I 0.9165 0.1941 0.8331  -0.03
I 0.0835 0.8059 0.1669  -0.03
I 0.7247 0.7796 0.4494  0.00
I 0.5000 0.0000 0.0000  -0.03
I 0.2753 0.2204 0.5506  0.00

Calculated values
size of the total moment	4.0	μB/cell
E	-41.226	eV for the cell shown
crystal system	monoclinic
formation energy (no corrections)	-625	kJ/mol of formula units

---

Record 4
Np2In5I12: optimized geometry, PBE-GGA.

Cell lengths 9.0131, 10.5568, 11.1181 Å; angles 106.80, 90.00, 115.27 degrees
Last column: magnetic moment on the atom in μB.
Positions (direct):
Np 0.7472 0.0000 0.0000  3.75
Np 0.2528 0.0000 0.0000  3.75
In 0.2833 0.5666 0.6251  -0.01
In 0.3183 0.6366 0.2210  -0.01
In 0.0000 0.0000 0.5000  -0.02
In 0.6817 0.3634 0.7790  -0.01
In 0.7167 0.4334 0.3749  -0.01
I 0.0048 0.0096 0.1912  -0.05
I 0.0961 0.6721 0.9200  -0.07
I 0.5760 0.6721 0.9200  -0.07
I 0.1110 0.7147 0.4450  -0.02
I 0.6037 0.7147 0.4450  -0.02
I 0.4941 0.9881 0.8007  -0.05
I 0.5059 0.0119 0.1993  -0.05
I 0.8890 0.2853 0.5550  -0.02
I 0.3963 0.2853 0.5550  -0.02
I 0.9039 0.3279 0.0800  -0.07
I 0.4240 0.3279 0.0800  -0.07
I 0.9952 0.9904 0.8088  -0.05

Calculated values
size of the total moment	6.9	μB/cell
E	-69.534	eV for the cell shown
crystal system	monoclinic
formation energy (no corrections)	-1096	kJ/mol of formula units

---

Record 5
NpIn2I6: optimized geometry, PBE-GGA.

Cell lengths 8.1054, 8.6313, 11.7595 Å; angles 90.00, 84.49, 90.00 degrees
Last column: magnetic moment on the atom in μB.
Positions (direct):
Np 0.5000 0.5000 0.0000  3.41
Np 0.0000 0.0000 0.5000  3.41
In 0.0382 0.6067 0.7872  -0.01
In 0.4618 0.1067 0.7128  -0.01
In 0.5382 0.8933 0.2872  -0.01
In 0.9618 0.3933 0.2128  -0.01
I 0.1435 0.0378 0.2564  -0.06
I 0.1679 0.2923 0.5662  -0.06
I 0.1969 0.3158 0.9499  -0.05
I 0.3031 0.8158 0.5501  -0.05
I 0.3321 0.7923 0.9338  -0.06
I 0.3565 0.5378 0.2436  -0.06
I 0.8565 0.9622 0.7436  -0.06
I 0.8321 0.7077 0.4338  -0.06
I 0.8031 0.6842 0.0501  -0.05
I 0.6969 0.1842 0.4499  -0.05
I 0.6679 0.2077 0.0662  -0.06
I 0.6435 0.4622 0.7564  -0.06

Calculated values
size of the total moment	6.0	μB/cell
E	-67.300	eV for the cell shown
crystal system	monoclinic
formation energy (no corrections)	-572	kJ/mol of formula units

---

Record 6
NpIn2I8: optimized geometry, PBE-GGA.

Cell lengths 7.6294, 9.0436, 9.0436 Å; angles 75.76, 98.38, 98.38 degrees
Last column: magnetic moment on the atom in μB.
Positions (direct):
Np 0.0000 0.0000 0.0000  4.05
In 0.6635 0.2046 0.2046  0.03
In 0.3365 0.7954 0.7954  0.03
I 0.2236 0.1016 0.7207  -0.02
I 0.2236 0.7207 0.1016  -0.02
I 0.7764 0.8984 0.2793  -0.02
I 0.1600 0.6079 0.6079  0.02
I 0.7764 0.2793 0.8984  -0.02
I 0.2747 0.1914 0.1914  -0.02
I 0.7253 0.8086 0.8086  -0.02
I 0.8400 0.3921 0.3921  0.02

Calculated values
size of the total moment	4.2	μB/cell
E	-36.931	eV for the cell shown
crystal system	monoclinic
formation energy (no corrections)	-590	kJ/mol of formula units

---

Record 7
NpIn2I5: optimized geometry, PBE-GGA.

Cell lengths 9.1305, 9.6929, 14.3347 Å; angles 90.00, 90.00, 90.00 degrees
Last column: magnetic moment on the atom in μB.
Positions (direct):
Np 0.4276 0.2500 0.5022  4.02
Np 0.5724 0.7500 0.4978  4.02
Np 0.9276 0.7500 0.9978  4.02
Np 0.0724 0.2500 0.0022  4.02
In 0.4477 0.4966 0.8263  0.00
In 0.5523 0.5034 0.1737  0.00
In 0.9477 0.5034 0.6737  0.00
In 0.5523 0.9966 0.1737  0.00
In 0.0523 0.4966 0.3263  0.00
In 0.4477 0.0034 0.8263  0.00
In 0.0523 0.0034 0.3263  0.00
In 0.9477 0.9966 0.6737  0.00
I 0.0685 0.2500 0.5034  -0.02
I 0.9315 0.7500 0.4966  -0.02
I 0.5685 0.7500 0.9966  -0.02
I 0.4315 0.2500 0.0034  -0.02
I 0.3314 0.9569 0.5809  -0.04
I 0.6686 0.0431 0.4191  -0.04
I 0.8314 0.0431 0.9191  -0.04
I 0.6686 0.4569 0.4191  -0.04
I 0.1686 0.9569 0.0809  -0.04
I 0.3314 0.5431 0.5809  -0.04
I 0.1686 0.5431 0.0809  -0.04
I 0.8314 0.4569 0.9191  -0.04
I 0.1645 0.2500 0.7899  -0.02
I 0.8355 0.7500 0.2101  -0.02
I 0.6645 0.7500 0.7101  -0.02
I 0.3355 0.2500 0.2899  -0.02
I 0.6249 0.2500 0.6845  -0.02
I 0.3751 0.7500 0.3155  -0.02
I 0.1249 0.7500 0.8155  -0.02
I 0.8751 0.2500 0.1845  -0.02

Calculated values
size of the total moment	16.0	μB/cell
E	-125.694	eV for the cell shown
crystal system	orthorhombic
formation energy (no corrections)	-507	kJ/mol of formula units

---

Record 8
NpInPbI6: optimized geometry, PBE-GGA.

Cell lengths 8.0943, 8.0943, 15.2577 Å; angles 90.00, 90.00, 120.00 degrees
Last column: magnetic moment on the atom in μB.
Positions (direct):
Np 0.6667 0.3333 0.2500  3.99
Np 0.3333 0.6667 0.7500  3.99
In 0.0000 0.0000 0.0000  0.00
In 0.0000 0.0000 0.5000  0.00
Pb 0.3333 0.6667 0.2500  0.00
Pb 0.6667 0.3333 0.7500  0.00
I 0.6476 0.6342 0.1289  -0.02
I 0.9865 0.3524 0.1289  -0.02
I 0.3524 0.9865 0.6289  -0.02
I 0.0135 0.6476 0.8711  -0.02
I 0.3658 0.3524 0.3711  -0.02
I 0.9865 0.6342 0.3711  -0.02
I 0.6342 0.9865 0.8711  -0.02
I 0.6476 0.0135 0.3711  -0.02
I 0.0135 0.3658 0.6289  -0.02
I 0.3658 0.0135 0.1289  -0.02
I 0.6342 0.6476 0.6289  -0.02
I 0.3524 0.3658 0.8711  -0.02

Calculated values
size of the total moment	8.0	μB/cell
E	-69.921	eV for the cell shown
crystal system	trigonal
formation energy (no corrections)	-605	kJ/mol of formula units

---

Record 9
RbNpInI6: optimized geometry, PBE-GGA.

Cell lengths 8.0146, 8.0146, 14.9033 Å; angles 90.00, 90.00, 90.00 degrees
Last column: magnetic moment on the atom in μB.
Positions (direct):
Rb 0.5000 0.5000 0.4964  0.00
Rb 0.0000 0.0000 0.9964  0.00
Np 0.5000 0.5000 0.8327  3.40
Np 0.0000 0.0000 0.3327  3.40
In 0.5000 0.5000 0.1633  -0.03
In 0.0000 0.0000 0.6633  -0.03
I 0.1771 0.8229 0.4849  -0.05
I 0.8229 0.1771 0.4849  -0.05
I 0.3229 0.3229 0.9849  -0.05
I 0.6771 0.6771 0.9849  -0.05
I 0.1943 0.8057 0.1942  -0.05
I 0.8057 0.1943 0.1942  -0.05
I 0.3057 0.3057 0.6942  -0.05
I 0.6943 0.6943 0.6942  -0.05
I 0.7652 0.2348 0.8247  -0.05
I 0.2348 0.7652 0.8247  -0.05
I 0.7348 0.7348 0.3247  -0.05
I 0.2652 0.2652 0.3247  -0.05

Calculated values
size of the total moment	6.0	μB/cell
E	-67.510	eV for the cell shown
crystal system	tetragonal
formation energy (no corrections)	-753	kJ/mol of formula units

---

Record 10
RbNpIn2I8: optimized geometry, PBE-GGA.

Cell lengths 7.8512, 7.3526, 10.0439 Å; angles 89.70, 89.88, 89.14 degrees
Last column: magnetic moment on the atom in μB.
Positions (direct):
Rb 0.0000 0.0000 0.5000  0.00
Np 0.0000 0.0000 0.0000  3.50
In 0.5005 0.4994 0.7436  -0.01
In 0.4995 0.5006 0.2564  -0.01
I 0.1500 0.7500 0.2109  -0.05
I 0.6848 0.7676 0.9994  -0.06
I 0.8469 0.2476 0.2095  -0.05
I 0.8500 0.2500 0.7891  -0.05
I 0.3152 0.2324 0.0006  -0.06
I 0.1531 0.7524 0.7905  -0.05
I 0.6301 0.7216 0.4990  0.01
I 0.3699 0.2784 0.5010  0.01

Calculated values
size of the total moment	3.1	μB/cell
E	-40.380	eV for the cell shown
crystal system	triclinic
formation energy (no corrections)	-829	kJ/mol of formula units

---

Record 11
Rb2NpInI6: optimized geometry, PBE-GGA.

Cell lengths 8.5105, 9.2372, 12.4255 Å; angles 90.00, 89.31, 90.00 degrees
Last column: magnetic moment on the atom in μB.
Positions (direct):
Rb 0.0350 0.9126 0.2505  0.00
Rb 0.5350 0.5874 0.7505  0.00
Rb 0.9650 0.0874 0.7495  0.00
Rb 0.4650 0.4126 0.2495  0.00
Np 0.5000 0.0000 0.5000  4.00
Np 0.0000 0.5000 0.0000  4.00
In 0.5000 0.0000 0.0000  0.00
In 0.0000 0.5000 0.5000  0.00
I 0.2976 0.6808 0.0575  -0.02
I 0.7976 0.8192 0.5575  -0.02
I 0.7024 0.3192 0.9425  -0.02
I 0.2024 0.1808 0.4425  -0.02
I 0.3302 0.7100 0.4421  -0.02
I 0.8302 0.7900 0.9421  -0.02
I 0.6698 0.2900 0.5579  -0.02
I 0.1698 0.2100 0.0579  -0.02
I 0.8816 0.5371 0.2369  -0.02
I 0.3816 0.9629 0.7369  -0.02
I 0.1184 0.4629 0.7631  -0.02
I 0.6184 0.0371 0.2631  -0.02

Calculated values
size of the total moment	8.0	μB/cell
E	-74.858	eV for the cell shown
crystal system	monoclinic
formation energy (no corrections)	-1014	kJ/mol of formula units

---

Record 12
Rb2NpInI8: optimized geometry, PBE-GGA.

Cell lengths 8.3257, 7.7049, 9.4609 Å; angles 89.98, 89.53, 92.64 degrees
Last column: magnetic moment on the atom in μB.
Positions (direct):
Rb 0.4979 0.4971 0.7458  0.00
Rb 0.5021 0.5029 0.2542  0.00
Np 0.0000 0.0000 0.0000  3.83
In 0.0000 0.0000 0.5000  0.08
I 0.1163 0.7717 0.2491  -0.02
I 0.6785 0.7984 0.9959  -0.03
I 0.8839 0.2284 0.2505  -0.02
I 0.8837 0.2283 0.7509  -0.02
I 0.3215 0.2016 0.0041  -0.03
I 0.1161 0.7716 0.7495  -0.02
I 0.6917 0.8125 0.5016  0.04
I 0.3083 0.1875 0.4984  0.04

Calculated values
size of the total moment	4.0	μB/cell
E	-40.840	eV for the cell shown
crystal system	triclinic
formation energy (no corrections)	-1044	kJ/mol of formula units

---

Record 13
NpInSnI6: optimized geometry, PBE-GGA.

Cell lengths 8.0469, 8.0469, 15.2399 Å; angles 90.00, 90.00, 120.00 degrees
Last column: magnetic moment on the atom in μB.
Positions (direct):
Np 0.6667 0.3333 0.2500  4.00
Np 0.3333 0.6667 0.7500  4.00
In 0.0000 0.0000 0.0000  0.00
In 0.0000 0.0000 0.5000  0.00
Sn 0.3333 0.6667 0.2500  0.00
Sn 0.6667 0.3333 0.7500  0.00
I 0.6437 0.6354 0.1301  -0.02
I 0.9917 0.3563 0.1301  -0.02
I 0.3563 0.9917 0.6301  -0.02
I 0.0083 0.6437 0.8699  -0.02
I 0.3646 0.3563 0.3699  -0.02
I 0.9917 0.6354 0.3699  -0.02
I 0.6354 0.9917 0.8699  -0.02
I 0.6437 0.0083 0.3699  -0.02
I 0.0083 0.3646 0.6301  -0.02
I 0.3646 0.0083 0.1301  -0.02
I 0.6354 0.6437 0.6301  -0.02
I 0.3563 0.3646 0.8699  -0.02

Calculated values
size of the total moment	8.0	μB/cell
E	-69.701	eV for the cell shown
crystal system	trigonal
formation energy (no corrections)	-566	kJ/mol of formula units

---

Record 14
NpInSn2I8: optimized geometry, PBE-GGA.

Cell lengths 7.7674, 7.4136, 9.5455 Å; angles 89.98, 89.99, 89.10 degrees
Last column: magnetic moment on the atom in μB.
Positions (direct):
Np 0.0000 0.0000 0.0000  3.99
In 0.0000 0.0000 0.5000  0.00
Sn 0.5000 0.5000 0.7460  0.01
Sn 0.5000 0.5000 0.2540  0.01
I 0.1583 0.7513 0.2297  -0.02
I 0.6735 0.7546 0.9999  -0.02
I 0.8415 0.2485 0.2296  -0.02
I 0.8417 0.2487 0.7703  -0.02
I 0.3265 0.2454 0.0001  -0.02
I 0.1585 0.7515 0.7704  -0.02
I 0.6433 0.7293 0.4999  0.00
I 0.3567 0.2707 0.5001  0.00

Calculated values
size of the total moment	4.0	μB/cell
E	-43.077	eV for the cell shown
crystal system	monoclinic
formation energy (no corrections)	-675	kJ/mol of formula units

---

Record 15
SrNpIn2I8: optimized geometry, PBE-GGA.

Cell lengths 8.0655, 7.5309, 9.5502 Å; angles 89.99, 90.01, 91.51 degrees
Last column: magnetic moment on the atom in μB.
Positions (direct):
Sr 0.0000 0.0000 0.5000  0.00
Np 0.0000 0.0000 0.0000  3.49
In 0.5001 0.5000 0.7484  -0.03
In 0.4999 0.5000 0.2516  -0.03
I 0.1391 0.7630 0.2300  -0.04
I 0.6853 0.7852 0.0000  -0.08
I 0.8608 0.2370 0.2300  -0.04
I 0.8609 0.2370 0.7700  -0.04
I 0.3147 0.2148 0.0000  -0.08
I 0.1392 0.7630 0.7700  -0.04
I 0.6643 0.7449 0.5000  -0.02
I 0.3357 0.2551 0.5000  -0.02

Calculated values
size of the total moment	3.0	μB/cell
E	-43.059	eV for the cell shown
crystal system	monoclinic
formation energy (no corrections)	-1019	kJ/mol of formula units

---

Record 16
NpTl3In3I8: optimized geometry, PBE-GGA.

Cell lengths 9.9160, 9.9191, 9.9542 Å; angles 119.90, 90.00, 119.99 degrees
Last column: magnetic moment on the atom in μB.
Positions (direct):
Np 0.0000 0.0000 0.5000  4.45
Tl 0.0000 0.0000 0.0000  0.00
Tl 0.0000 0.5000 0.0000  0.00
Tl 0.5000 0.5000 0.0000  0.00
In 0.5000 0.0000 0.5000  0.01
In 0.5000 0.5000 0.5000  0.01
In 0.0000 0.5000 0.5000  0.01
I 0.2512 0.5024 0.2538  0.00
I 0.7488 0.4976 0.7462  0.00
I 0.7714 0.5428 0.2731  -0.01
I 0.2286 0.4572 0.7269  -0.01
I 0.7716 0.0019 0.2734  -0.01
I 0.2284 0.9981 0.7266  -0.01
I 0.2303 0.0019 0.2734  -0.01
I 0.7697 0.9981 0.7266  -0.01

Calculated values
size of the total moment	4.8	μB/cell
E	-49.100	eV for the cell shown
crystal system	trigonal
formation energy (no corrections)	-815	kJ/mol of formula units

---

Record 17
NpTlIn2I6: optimized geometry, PBE-GGA.

Cell lengths 8.5844, 8.5841, 9.0794 Å; angles 61.77, 61.77, 59.98 degrees
Last column: magnetic moment on the atom in μB.
Positions (direct):
Np 0.3257 0.3257 0.0229  4.00
Tl 0.8171 0.8172 0.5487  0.00
In 0.5199 0.5197 0.4404  0.00
In 0.0103 0.0102 0.9693  0.00
I 0.5696 0.2119 0.2482  -0.02
I 0.2119 0.9702 0.2481  -0.02
I 0.9701 0.5699 0.2481  -0.02
I 0.4142 0.6960 0.7631  -0.02
I 0.6961 0.1265 0.7632  -0.02
I 0.1267 0.4143 0.7632  -0.02

Calculated values
size of the total moment	4.0	μB/cell
E	-36.654	eV for the cell shown
crystal system	trigonal
formation energy (no corrections)	-634	kJ/mol of formula units

---

Record 18
NpTlInI6: optimized geometry, PBE-GGA.

Cell lengths 7.8698, 7.8698, 14.5675 Å; angles 90.00, 90.00, 90.00 degrees
Last column: magnetic moment on the atom in μB.
Positions (direct):
Np 0.5000 0.5000 0.8328  3.43
Np 0.0000 0.0000 0.3328  3.43
Tl 0.5000 0.5000 0.4997  -0.01
Tl 0.0000 0.0000 0.9997  -0.01
In 0.5000 0.5000 0.1656  -0.04
In 0.0000 0.0000 0.6656  -0.04
I 0.1840 0.8160 0.4857  -0.05
I 0.8160 0.1840 0.4857  -0.05
I 0.3160 0.3160 0.9857  -0.05
I 0.6840 0.6840 0.9857  -0.05
I 0.1906 0.8094 0.1849  -0.05
I 0.8094 0.1906 0.1849  -0.05
I 0.3094 0.3094 0.6849  -0.05
I 0.6906 0.6906 0.6849  -0.05
I 0.7702 0.2298 0.8303  -0.06
I 0.2298 0.7702 0.8303  -0.06
I 0.7298 0.7298 0.3303  -0.06
I 0.2702 0.2702 0.3303  -0.06

Calculated values
size of the total moment	6.0	μB/cell
E	-66.964	eV for the cell shown
crystal system	tetragonal
formation energy (no corrections)	-592	kJ/mol of formula units